Record 1
PBE-GGA ScInFeRe, optimized geometry; energy relative to the lowest polymorph listed for this composition = 0 meV per atom
1.0
6.4549 0.0000 0.0000
0.0000 6.4549 0.0000
0.0000 0.0000 6.4549
Sc In Fe Re
4 4 4 4
direct
0.0000 0.0000 0.0000
0.0000 0.5000 0.5000
0.5000 0.0000 0.5000
0.5000 0.5000 0.0000
0.2500 0.2500 0.2500
0.2500 0.7500 0.7500
0.7500 0.2500 0.7500
0.7500 0.7500 0.2500
0.0000 0.0000 0.5000
0.0000 0.5000 0.0000
0.5000 0.0000 0.0000
0.5000 0.5000 0.5000
0.2500 0.2500 0.7500
0.2500 0.7500 0.2500
0.7500 0.2500 0.2500
0.7500 0.7500 0.7500


Record 2
PBE-GGA BaGeSbPt2, optimized geometry; E_tot = -53.40 eV per cell
1.0
4.7103 0.0000 0.0000
0.0000 4.6524 0.0000
-0.2709 0.0000 10.5515
Ba Ge Sb Pt
2 2 2 4
direct
0.2406 0.2500 0.2594
0.7594 0.7500 0.7406
0.2472 0.7500 0.5000
0.7528 0.2500 0.5000
0.2900 0.2500 0.8725
0.7100 0.7500 0.1275
0.1971 0.7500 0.9974
0.2573 0.2500 0.6073
0.7427 0.7500 0.3927
0.8029 0.2500 0.0026


Record 3
PBE-GGA PuNbGa, optimized geometry; energy relative to the lowest polymorph listed for this composition = 504 meV per atom
1.0
6.3871 0.0000 0.0000
0.0000 6.3871 0.0000
0.0000 0.0000 6.3871
Pu Nb Ga
4 4 4
direct
0.0000 0.0000 0.0000
0.0000 0.5000 0.5000
0.5000 0.0000 0.5000
0.5000 0.5000 0.0000
0.2500 0.2500 0.2500
0.2500 0.7500 0.7500
0.7500 0.2500 0.7500
0.7500 0.7500 0.2500
0.2500 0.2500 0.7500
0.2500 0.7500 0.2500
0.7500 0.2500 0.2500
0.7500 0.7500 0.7500


Record 4
PBE-GGA ZrReSi2, optimized geometry; E_tot = -412.58 eV per cell
1.0
9.2674 0.0000 0.0000
0.0000 10.1323 0.0000
0.0000 0.0000 8.1076
Zr Re Si
12 12 24
direct
0.1708 0.1798 0.0000
0.1740 0.4520 0.2466
0.1740 0.4520 0.7534
0.3260 0.9520 0.2466
0.3260 0.9520 0.7534
0.3292 0.6798 0.0000
0.6708 0.3202 0.0000
0.6740 0.0480 0.2466
0.6740 0.0480 0.7534
0.8260 0.5480 0.2466
0.8260 0.5480 0.7534
0.8292 0.8202 0.0000
0.0000 0.0000 0.2455
0.0000 0.0000 0.7545
0.0847 0.7418 0.2507
0.0847 0.7418 0.7493
0.4153 0.2418 0.2507
0.4153 0.2418 0.7493
0.5000 0.5000 0.2455
0.5000 0.5000 0.7545
0.5847 0.7582 0.2507
0.5847 0.7582 0.7493
0.9153 0.2582 0.2507
0.9153 0.2582 0.7493
0.0343 0.6154 0.5000
0.0347 0.6159 0.0000
0.1248 0.9050 0.5000
0.1297 0.8980 0.0000
0.1672 0.1808 0.3541
0.1672 0.1808 0.6459
0.3328 0.6808 0.3541
0.3328 0.6808 0.6459
0.3703 0.3980 0.0000
0.3752 0.4050 0.5000
0.4653 0.1159 0.0000
0.4657 0.1154 0.5000
0.5343 0.8846 0.5000
0.5347 0.8841 0.0000
0.6248 0.5950 0.5000
0.6297 0.6020 0.0000
0.6672 0.3192 0.3541
0.6672 0.3192 0.6459
0.8328 0.8192 0.3541
0.8328 0.8192 0.6459
0.8703 0.1020 0.0000
0.8752 0.0950 0.5000
0.9653 0.3841 0.0000
0.9657 0.3846 0.5000


Record 5
PBE-GGA TmScB, optimized geometry; energy relative to the lowest polymorph listed for this composition = 1195 meV per atom
1.0
6.1564 0.0000 0.0000
0.0000 6.1564 0.0000
0.0000 0.0000 6.1564
Tm Sc B
4 4 4
direct
0.0000 0.0000 0.0000
0.0000 0.5000 0.5000
0.5000 0.0000 0.5000
0.5000 0.5000 0.0000
0.2500 0.2500 0.2500
0.2500 0.7500 0.7500
0.7500 0.2500 0.7500
0.7500 0.7500 0.2500
0.2500 0.2500 0.7500
0.2500 0.7500 0.2500
0.7500 0.2500 0.2500
0.7500 0.7500 0.7500


Record 6
PBE-GGA NdBeB4, optimized geometry; energy relative to the lowest polymorph listed for this composition = 0 meV per atom
1.0
3.1155 0.0000 0.0000
-1.5578 2.6981 0.0000
0.0000 0.0000 6.9900
Nd Be B
1 1 4
direct
0.0000 0.0000 0.0000
0.0000 0.0000 0.5000
0.3333 0.6667 0.3087
0.3333 0.6667 0.6913
0.6667 0.3333 0.3087
0.6667 0.3333 0.6913


Record 7
PBE-GGA LiPdAu2, optimized geometry; energy relative to the lowest polymorph listed for this composition = 177 meV per atom
1.0
4.5893 0.0000 0.0000
-2.2947 3.9745 0.0000
0.0000 0.0000 8.0542
Li Pd Au
2 2 4
direct
0.3333 0.6667 0.2500
0.6667 0.3333 0.7500
0.0000 0.0000 0.0000
0.0000 0.0000 0.5000
0.3333 0.6667 0.5780
0.3333 0.6667 0.9220
0.6667 0.3333 0.0780
0.6667 0.3333 0.4220


Record 8
PBE-GGA Zr4AgAuC2, optimized geometry; E_tot = -127.31 eV per cell
1.0
4.7131 0.0000 0.0000
0.0000 3.2903 0.0000
0.0000 0.0000 17.5148
Zr Ag Au C
8 2 2 4
direct
0.0000 0.0000 0.0000
0.0000 0.0000 0.1824
0.0000 0.5000 0.5000
0.0000 0.5000 0.6824
0.5000 0.0000 0.3938
0.5000 0.0000 0.5774
0.5000 0.5000 0.0774
0.5000 0.5000 0.8938
0.0000 0.0000 0.8326
0.0000 0.5000 0.3326
0.5000 0.0000 0.7450
0.5000 0.5000 0.2450
0.0000 0.0000 0.5917
0.0000 0.5000 0.0917
0.5000 0.0000 0.9845
0.5000 0.5000 0.4845


Record 9
PBE-GGA DyEr2In3AgPt2, optimized geometry; E_tot = -44.29 eV per cell
1.0
3.7363 0.0000 0.0000
0.0000 6.7751 3.9096
0.0000 -6.7751 3.9096
Dy Er In Ag Pt
1 2 3 1 2
direct
0.0000 0.0000 0.0000
0.0000 0.1813 0.5907
0.0000 0.5907 0.1813
0.5000 0.3214 0.3214
0.5000 0.5906 0.8602
0.5000 0.8602 0.5906
0.0000 0.5906 0.5906
0.5000 0.2576 0.9239
0.5000 0.9239 0.2576


Record 10
PBE-GGA ZnCdCo2, optimized geometry; ΔH_f (0 K) = 0.2570 eV per atom
1.0
6.0484 0.0000 0.0000
0.0000 6.0484 0.0000
0.0000 0.0000 6.0484
Zn Cd Co
4 4 8
direct
0.0000 0.0000 0.0000
0.0000 0.5000 0.5000
0.5000 0.0000 0.5000
0.5000 0.5000 0.0000
0.2500 0.2500 0.7500
0.2500 0.7500 0.2500
0.7500 0.2500 0.2500
0.7500 0.7500 0.7500
0.0000 0.0000 0.5000
0.0000 0.5000 0.0000
0.2500 0.2500 0.2500
0.2500 0.7500 0.7500
0.5000 0.0000 0.0000
0.5000 0.5000 0.5000
0.7500 0.2500 0.7500
0.7500 0.7500 0.2500


Record 11
PBE-GGA RbHoAsO, optimized geometry; energy relative to the lowest polymorph listed for this composition = 0 meV per atom
1.0
3.4513 0.0000 0.0000
0.0000 7.9812 0.0000
0.0000 0.0000 8.0529
Rb Ho As O
2 2 2 2
direct
0.0000 0.0563 0.0000
0.0000 0.9437 0.5000
0.5000 0.3709 0.3584
0.5000 0.6291 0.8584
0.5000 0.3051 0.7091
0.5000 0.6949 0.2091
0.0000 0.2424 0.2878
0.0000 0.7576 0.7878


Record 12
PBE-GGA ThMgCu, optimized geometry; E_tot = -50.30 eV per cell
1.0
6.6345 0.0000 0.0000
0.0000 6.6345 0.0000
0.0000 0.0000 6.6345
Th Mg Cu
4 4 4
direct
0.0000 0.0000 0.0000
0.0000 0.5000 0.5000
0.5000 0.0000 0.5000
0.5000 0.5000 0.0000
0.0000 0.0000 0.5000
0.0000 0.5000 0.0000
0.5000 0.0000 0.0000
0.5000 0.5000 0.5000
0.2500 0.2500 0.7500
0.2500 0.7500 0.2500
0.7500 0.2500 0.2500
0.7500 0.7500 0.7500